## A
Ta2BeTe after structural relaxation. Source: the Alexandria database, functional GGA-PBEsol.

```
4
Lattice="-1.8459 -2.6480 -0.1748 2.2892 -1.8422 3.7223 -2.3757 3.4762 2.3429" Properties=species:S:1:pos:R:3 pbc="T T T"
Be -0.9230 -1.3241 -0.0874
Te 1.1445 -0.9211 1.8611
Ta -1.1213 0.6516 1.9798
Ta -0.8114 -1.6658 3.9105
```

D(E_F) (states/eV/f.u.): 2.39
Volume (Å³ per cell): 68.8


## B
Ta2BeTe after structural relaxation. Source: the Alexandria database, functional GGA-PBEsol.

```
4
Lattice="-0.9406 -2.1936 -3.2978 3.8776 0.1808 -1.2262 0.7960 -3.3774 2.0194" Properties=species:S:1:pos:R:3 pbc="T T T"
Ta -0.4703 -1.0968 -1.6489
Be 0.3980 -1.6887 1.0097
Ta 1.9388 0.0904 -0.6131
Te 1.8665 -2.6951 -1.2523
```

D(E_F) (states/eV/f.u.): 2.91
Volume (Å³ per cell): 66.5


## C
Ta2BeTe after structural relaxation. Source: the Alexandria database, functional GGA-PBEsol.

```
4
Lattice="4.5647 0.0000 0.0000 2.2824 3.9532 0.0000 2.2824 1.3177 3.7271" Properties=species:S:1:pos:R:3 pbc="T T T"
Ta 6.8471 3.9532 2.7953
Be 4.5647 2.6354 1.8635
Ta 0.0000 0.0000 0.0000
Te 2.2824 1.3177 0.9318
```

D(E_F) (states/eV/f.u.): 3.54
Volume (Å³ per cell): 67.3


Quick one: most stable of them? A


## A
TaBeTl2 after structural relaxation. Source: the Alexandria database, functional GGA-PBEsol.

```
4
Lattice="-2.7322 -1.6889 3.5553 1.5755 -3.6145 2.7223 1.2384 0.7979 4.5593" Properties=species:S:1:pos:R:3 pbc="T T T"
Tl 0.0204 -1.1264 2.7092
Tl 0.0613 -3.3792 8.1277
Ta 0.0408 -2.2528 5.4184
Be 0.0000 0.0000 0.0000
```

D(E_F) (states/eV/f.u.): 3.46
Volume (Å³ per cell): 77.8


## B
TaBeTl2 after structural relaxation. Source: the Alexandria database, functional GGA-PBEsol.

```
4
Lattice="4.0217 0.0000 0.0000 0.0000 4.2900 0.0000 0.0000 0.0000 4.2900" Properties=species:S:1:pos:R:3 pbc="T T T"
Ta 2.0109 0.0000 0.0000
Be 2.0109 2.1450 2.1450
Tl 0.0000 2.1450 0.0000
Tl 0.0000 0.0000 2.1450
```

D(E_F) (states/eV/f.u.): 2.38
Volume (Å³ per cell): 74.0


Quick one: most stable of them? B